{"formula": "MnFeO3", "functional": "PBE with a Hubbard U", "state": "optimized geometry", "dft_energy_ev_per_cell": -278.64, "sg": "Ibca (73)", "lattice": [[-4.718, 4.741, 4.761], [4.718, -4.741, 4.761], [4.718, 4.741, -4.761]], "species": ["Mn", "Mn", "Mn", "Mn", "Mn", "Mn", "Mn", "Mn", "Fe", "Fe", "Fe", "Fe", "Fe", "Fe", "Fe", "Fe", "O", "O", "O", "O", "O", "O", "O", "O", "O", "O", "O", "O", "O", "O", "O", "O", "O", "O", "O", "O", "O", "O", "O", "O"], "fractional_positions": [[0.218, 0.468, 0.750], [0.250, 0.283, 0.033], [0.250, 0.783, 0.533], [0.282, 0.032, 0.250], [0.718, 0.968, 0.750], [0.750, 0.217, 0.467], [0.750, 0.717, 0.967], [0.782, 0.532, 0.250], [0.000, 0.000, 0.500], [0.000, 0.500, 0.000], [0.040, 0.750, 0.790], [0.460, 0.250, 0.710], [0.500, 0.000, 0.000], [0.500, 0.500, 0.500], [0.540, 0.750, 0.290], [0.960, 0.250, 0.210], [0.018, 0.792, 0.560], [0.040, 0.545, 0.271], [0.057, 0.772, 0.050], [0.222, 0.008, 0.450], [0.226, 0.231, 0.771], [0.232, 0.292, 0.274], [0.268, 0.542, 0.060], [0.274, 0.045, 0.005], [0.278, 0.728, 0.786], [0.443, 0.492, 0.714], [0.460, 0.731, 0.505], [0.482, 0.042, 0.774], [0.518, 0.958, 0.226], [0.540, 0.269, 0.495], [0.557, 0.508, 0.286], [0.722, 0.272, 0.214], [0.726, 0.955, 0.995], [0.732, 0.458, 0.940], [0.768, 0.708, 0.726], [0.774, 0.769, 0.229], [0.778, 0.992, 0.550], [0.943, 0.228, 0.950], [0.960, 0.455, 0.729], [0.982, 0.208, 0.440]]}